Entry 1:
LaDy5Er8: relaxed, PBE-GGA.

## Properties
Magnetic moment   0.0 μB/cell
Final energy   -4.357 eV/atom

Structure (CIF):
```
data_LaDy5Er8
_cell_length_a 9.5188
_cell_length_b 9.5188
_cell_length_c 9.9558
_cell_angle_alpha 90.00
_cell_angle_beta 90.00
_cell_angle_gamma 90.00
_symmetry_space_group_name_H-M 'I -4'
_symmetry_Int_Tables_number 82
loop_
_symmetry_equiv_pos_as_xyz
'x,y,z'
'y,-x,-z'
'-x,-y,z'
'-y,x,-z'
'x+1/2,y+1/2,z+1/2'
'y+1/2,-x+1/2,-z+1/2'
'-x+1/2,-y+1/2,z+1/2'
'-y+1/2,x+1/2,-z+1/2'
loop_
_atom_site_label
_atom_site_fract_x
_atom_site_fract_y
_atom_site_fract_z
La1 0.0000 0.0000 0.0000
Dy1 0.0000 0.5000 0.7500
Dy2 0.1119 0.7912 0.4227
Er1 0.0713 0.6707 0.0967
Er2 0.0898 0.8259 0.7527
```


Entry 2:
La3Dy8Er: relaxed, PBE-GGA.

## Properties
Magnetic moment   0.0 μB/cell
Final energy   -4.082 eV/atom

Structure (CIF):
```
data_La3Dy8Er
_cell_length_a 8.8284
_cell_length_b 8.8284
_cell_length_c 11.3207
_cell_angle_alpha 90.00
_cell_angle_beta 90.00
_cell_angle_gamma 90.00
_symmetry_space_group_name_H-M 'I -4 2 m'
_symmetry_Int_Tables_number 121
_symmetry_space_group_name_Hall 'I -4 2'
loop_
_atom_site_label
_atom_site_fract_x
_atom_site_fract_y
_atom_site_fract_z
La1 0.0000 0.0000 0.0000
La2 0.0000 0.5000 0.2500
Dy1 0.1238 0.1238 0.7447
Dy2 0.2433 0.2433 0.4872
Er1 0.0000 0.0000 0.5000
```


Entry 3:
LaDyErLu: relaxed, PBE-GGA.

## Properties
Magnetic moment   0.0 μB/cell
Final energy   -4.558 eV/atom

Structure (CIF):
```
data_LaDyErLu
_cell_length_a 8.0461
_cell_length_b 8.0461
_cell_length_c 8.0461
_cell_angle_alpha 90.00
_cell_angle_beta 90.00
_cell_angle_gamma 90.00
_symmetry_space_group_name_H-M 'F -4 3 m'
_symmetry_Int_Tables_number 216
_symmetry_space_group_name_Hall 'F -4 2 3'
loop_
_atom_site_label
_atom_site_fract_x
_atom_site_fract_y
_atom_site_fract_z
La1 0.0000 0.0000 0.0000
Dy1 0.0000 0.0000 0.5000
Er1 0.2500 0.2500 0.2500
Lu1 0.2500 0.2500 0.7500
```


Entry 4:
LaDyErMg: relaxed, PBE-GGA.

## Properties
Magnetic moment   0.0 μB/cell
Excess energy over the best structure of this formula in the dataset   4.0 kJ/mol of atoms

Structure (CIF):
```
data_LaDyErMg
_cell_length_a 7.8978
_cell_length_b 7.8978
_cell_length_c 7.8978
_cell_angle_alpha 90.00
_cell_angle_beta 90.00
_cell_angle_gamma 90.00
_symmetry_space_group_name_H-M 'F -4 3 m'
_symmetry_Int_Tables_number 216
_symmetry_space_group_name_Hall 'F -4 2 3'
loop_
_atom_site_label
_atom_site_fract_x
_atom_site_fract_y
_atom_site_fract_z
La1 0.0000 0.0000 0.0000
Dy1 0.0000 0.0000 0.5000
Er1 0.2500 0.2500 0.7500
Mg1 0.2500 0.2500 0.2500
```


Entry 5:
LaDyErMg: relaxed, PBE-GGA.

## Properties
Magnetic moment   0.0 μB/cell
Excess energy over the best structure of this formula in the dataset   0.0 kJ/mol of atoms

Structure (CIF):
```
data_LaDyErMg
_cell_length_a 3.7276
_cell_length_b 3.7276
_cell_length_c 8.8054
_cell_angle_alpha 90.00
_cell_angle_beta 90.00
_cell_angle_gamma 90.00
_symmetry_space_group_name_H-M 'P 4 m m'
_symmetry_Int_Tables_number 99
loop_
_symmetry_equiv_pos_as_xyz
'x,y,z'
'-y,x,z'
'-x,-y,z'
'y,-x,z'
'-x,y,z'
'y,x,z'
'x,-y,z'
'-y,-x,z'
loop_
_atom_site_label
_atom_site_fract_x
_atom_site_fract_y
_atom_site_fract_z
La1 0.0000 0.0000 0.0000
Dy1 0.5000 0.5000 0.7156
Er1 0.5000 0.5000 0.2810
Mg1 0.0000 0.0000 0.4960
```


Entry 6:
La2Dy6Er3Mg: relaxed, PBE-GGA.

## Properties
Magnetic moment   0.0 μB/cell
Final energy   -4.375 eV/atom

Structure (CIF):
```
data_La2Dy6Er3Mg
_cell_length_a 6.1300
_cell_length_b 10.6275
_cell_length_c 11.7689
_cell_angle_alpha 90.00
_cell_angle_beta 100.13
_cell_angle_gamma 90.00
_symmetry_space_group_name_H-M 'C 1 2/m 1'
_symmetry_Int_Tables_number 12
loop_
_symmetry_equiv_pos_as_xyz
'x,y,z'
'-x,-y,-z'
'-x,y,-z'
'x,-y,z'
'x+1/2,y+1/2,z'
'-x+1/2,-y+1/2,-z'
'-x+1/2,y+1/2,-z'
'x+1/2,-y+1/2,z'
loop_
_atom_site_label
_atom_site_fract_x
_atom_site_fract_y
_atom_site_fract_z
La1 0.0000 0.1670 0.0000
Dy1 0.2469 0.5000 0.7449
Dy2 0.2491 0.3348 0.2543
Er1 0.0000 0.0000 0.5000
Er2 0.0000 0.3343 0.5000
Mg1 0.0000 0.5000 0.0000
```


Look up the magnetic moment of the second one.
0.0 μB/cell


Copy entry 2 word for word.
La3Dy8Er: relaxed, PBE-GGA.

## Properties
Magnetic moment   0.0 μB/cell
Final energy   -4.082 eV/atom

Structure (CIF):
```
data_La3Dy8Er
_cell_length_a 8.8284
_cell_length_b 8.8284
_cell_length_c 11.3207
_cell_angle_alpha 90.00
_cell_angle_beta 90.00
_cell_angle_gamma 90.00
_symmetry_space_group_name_H-M 'I -4 2 m'
_symmetry_Int_Tables_number 121
_symmetry_space_group_name_Hall 'I -4 2'
loop_
_atom_site_label
_atom_site_fract_x
_atom_site_fract_y
_atom_site_fract_z
La1 0.0000 0.0000 0.0000
La2 0.0000 0.5000 0.2500
Dy1 0.1238 0.1238 0.7447
Dy2 0.2433 0.2433 0.4872
Er1 0.0000 0.0000 0.5000
```


Number 1 is which compound?
LaDy5Er8